No. 1
ThNpGe: relaxed, GGA-PBE.

## Properties
The value obtained for the calculated total energy is -8.3566 eV per atom. For the formation energy, the calculation gives -0.09 eV/f.u. Its size of the total moment is 11.23 μB per cell.

a = 4.9958 Å, b = 6.9259 Å, c = 8.2863 Å
α = 90.00°, β = 90.00°, γ = 90.00°
Space group Immm (No. 71)
Inequivalent atoms, fractional coordinates:
Th 0.0000 0.2450 0.0000 [4 per cell]
Np 0.0000 0.0000 0.3573 [4 per cell]
Ge 0.0000 0.5000 0.3334 [4 per cell]

---

No. 2
NpTi2Ge: relaxed, GGA-PBE.

## Properties
The value obtained for the excess energy over the best structure of this formula in the dataset is 150 meV per atom. The value obtained for the calculated total energy is -8.3636 eV per atom. For the formation energy, the calculation gives -0.11 eV/f.u. Its size of the total moment is 19.93 μB per cell.

a = 6.5674 Å, b = 6.5674 Å, c = 6.5674 Å
α = 90.00°, β = 90.00°, γ = 90.00°
Space group Fm-3m (No. 225)
Inequivalent atoms, fractional coordinates:
Np 0.0000 0.0000 0.0000 [4 per cell]
Ti 0.2500 0.2500 0.2500 [8 per cell]
Ge 0.0000 0.0000 0.5000 [4 per cell]

---

No. 3
NpTiGe2: relaxed, GGA-PBE.

## Properties
The value obtained for the excess energy over the best structure of this formula in the dataset is 130 meV per atom. The value obtained for the calculated total energy is -7.6512 eV per atom. For the formation energy, the calculation gives -0.53 eV/f.u. Its size of the total moment is 11.18 μB per cell.

a = 2.9685 Å, b = 2.9685 Å, c = 28.6354 Å
α = 90.00°, β = 90.00°, γ = 120.00°
Space group R-3m (No. 166, hexagonal axes)
Inequivalent atoms, fractional coordinates:
Np 0.0000 0.0000 0.0000 [3 per cell]
Ti 0.0000 0.0000 0.5000 [3 per cell]
Ge 0.0000 0.0000 0.2422 [6 per cell]

---

No. 4
NpTi2Ge: relaxed, GGA-PBE.

## Properties
The value obtained for the excess energy over the best structure of this formula in the dataset is 224 meV per atom. The value obtained for the calculated total energy is -8.2897 eV per atom. For the formation energy, the calculation gives 0.19 eV/f.u. Its size of the total moment is 7.59 μB per cell.

a = 2.9363 Å, b = 2.9363 Å, c = 28.7447 Å
α = 90.00°, β = 90.00°, γ = 120.00°
Space group R-3m (No. 166, hexagonal axes)
Inequivalent atoms, fractional coordinates:
Np 0.0000 0.0000 0.0000 [3 per cell]
Ti 0.0000 0.0000 0.2430 [6 per cell]
Ge 0.0000 0.0000 0.5000 [3 per cell]

---

No. 5
NpTi2Ge: relaxed, GGA-PBE.

## Properties
The value obtained for the excess energy over the best structure of this formula in the dataset is 0 meV per atom. The value obtained for the calculated total energy is -8.5141 eV per atom. For the formation energy, the calculation gives -0.71 eV/f.u. Its size of the total moment is 3.83 μB per cell.

a = 4.3370 Å, b = 4.3370 Å, c = 3.7049 Å
α = 90.00°, β = 90.00°, γ = 90.00°
Space group P4/mmm (No. 123)
Inequivalent atoms, fractional coordinates:
Np 0.0000 0.0000 0.0000 [1 per cell]
Ti 0.0000 0.5000 0.5000 [2 per cell]
Ge 0.5000 0.5000 0.0000 [1 per cell]

---

No. 6
NpTiGe2: relaxed, GGA-PBE.

## Properties
The value obtained for the excess energy over the best structure of this formula in the dataset is 0 meV per atom. The value obtained for the calculated total energy is -7.7811 eV per atom. For the formation energy, the calculation gives -1.05 eV/f.u. Its size of the total moment is 4.41 μB per cell.

a = 3.4722 Å, b = 3.4722 Å, c = 6.2127 Å
α = 90.00°, β = 90.00°, γ = 90.00°
Space group P4/mmm (No. 123)
Inequivalent atoms, fractional coordinates:
Np 0.0000 0.0000 0.0000 [1 per cell]
Ti 0.0000 0.0000 0.5000 [1 per cell]
Ge 0.5000 0.5000 0.2928 [2 per cell]

---

No. 7
NpU2Ge: relaxed, GGA-PBE.

## Properties
The value obtained for the excess energy over the best structure of this formula in the dataset is 49 meV per atom. The value obtained for the calculated total energy is -10.0686 eV per atom. For the formation energy, the calculation gives -0.14 eV/f.u. Its size of the total moment is 0.00 μB per cell.

a = 5.1980 Å, b = 6.3489 Å, c = 10.3616 Å
α = 90.00°, β = 110.49°, γ = 90.00°
Space group P2/c (No. 13)
Inequivalent atoms, fractional coordinates:
Np 0.1814 0.1330 0.1217 [4 per cell]
U 0.1151 0.3479 0.5807 [4 per cell]
U 0.3775 0.3343 0.3665 [4 per cell]
Ge 0.3297 0.1388 0.8614 [4 per cell]

---

No. 8
NpUGe: relaxed, GGA-PBE.

## Properties
The value obtained for the excess energy over the best structure of this formula in the dataset is 0 meV per atom. The value obtained for the calculated total energy is -9.7011 eV per atom. For the formation energy, the calculation gives -0.26 eV/f.u. Its size of the total moment is 8.06 μB per cell.

a = 4.5484 Å, b = 9.4677 Å, c = 5.4267 Å
α = 90.00°, β = 90.00°, γ = 90.00°
Space group Cmc2_1 (No. 36)
Inequivalent atoms, fractional coordinates:
Np 0.0000 0.0940 0.0000 [4 per cell]
U 0.0000 0.2750 0.6372 [4 per cell]
Ge 0.0000 0.4132 0.1438 [4 per cell]